Computed, not measured: an optimized crystal structure of ZrCoO at the PBE with a Hubbard U level of DFT.

a = 3.1022 Å, b = 3.1022 Å, c = 7.9439 Å
α = 90.01°, β = 90.00°, γ = 90.00°
Fractional positions:
Co (0.7500, 0.7500, 0.9237)
Co (0.2500, 0.2500, 0.0763)
O (0.2501, 0.2500, 0.3893)
O (0.7499, 0.7500, 0.6107)
Zr (0.7501, 0.7500, 0.3138)
Zr (0.2499, 0.2500, 0.6862)

Results
For the total energy, the calculation gives -45.9 eV/cell. As for the symmetry: P4/nmm, No. 129. The total magnetic moment comes out at 4.025 μB per cell. The value obtained for the excess energy over the best structure of this formula in the dataset is 0.000 eV per atom.